(1)
## BaCuCl (PBE)

Data for a relaxed BaCuCl crystal.

Calculated volume, Å³ per cell: 99.13
DFT total energy, eV per atom: -3.3466
ΔE to the lowest computed polymorph, eV per formula unit: 0.45
Raw formation energy, eV/atom: -0.725
Space-group type: F-43m (216)

Lattice parameters (Å, degrees): 5.1948 5.1948 5.1948 60.00 60.00 60.00
Element x y z (fractional)
1 Ba 0.0000 0.0000 0.0000
2 Cu 0.5000 0.5000 0.5000
3 Cl 0.2500 0.2500 0.2500

***

(2)
## CoPbCl2 (PBE)

Data for a relaxed CoPbCl2 crystal.

Calculated volume, Å³ per cell: 90.96
DFT total energy, eV per atom: -3.4645
ΔE to the lowest computed polymorph, eV per formula unit: 2.24
Raw formation energy, eV/atom: 0.162
Space-group type: I-4m2 (119)

Lattice parameters (Å, degrees): 6.1616 6.1616 6.1616 141.25 141.25 55.97
Element x y z (fractional)
1 Co 0.0000 0.0000 0.0000
2 Pb 0.2500 0.7500 0.5000
3 Cl 0.5000 0.5000 0.0000
4 Cl 0.7500 0.2500 0.5000

***

(3)
## AlHg2Cl3 (PBE)

Data for a relaxed AlHg2Cl3 crystal.

Calculated volume, Å³ per cell: 556.09
DFT total energy, eV per atom: -2.5033
Raw formation energy, eV/atom: -0.856
Space-group type: C2/c (15)

Lattice parameters (Å, degrees): 6.6725 6.6725 14.4302 90.26 90.26 59.95
Element x y z (fractional)
1 Al 0.0012 0.9988 0.7500
2 Al 0.9988 0.0012 0.2500
3 Hg 0.3330 0.3334 0.0000
4 Hg 0.3334 0.3330 0.5000
5 Hg 0.6670 0.6666 0.0000
6 Hg 0.6666 0.6670 0.5000
7 Cl 0.0009 0.3103 0.7498
8 Cl 0.3103 0.0009 0.2498
9 Cl 0.3129 0.6871 0.7500
10 Cl 0.6871 0.3129 0.2500
11 Cl 0.6897 0.9991 0.7502
12 Cl 0.9991 0.6897 0.2502

***

(4)
## CrGeRu2 (PBE)

Data for a relaxed CrGeRu2 crystal.

Calculated volume, Å³ per cell: 54.59
DFT total energy, eV per atom: -8.3333
Energy of formation from the pure elements, kJ/mol of atoms: -13.0
Space-group type: P4/mmm (123)

Lattice parameters (Å, degrees): 4.2593 4.2593 3.0089 90.00 90.00 90.00
Element x y z (fractional)
1 Cr 0.0000 0.0000 0.0000
2 Ge 0.5000 0.5000 0.0000
3 Ru 0.0000 0.5000 0.5000
4 Ru 0.5000 0.0000 0.5000

***

(5)
## TbPrPa (PBE)

Data for a relaxed TbPrPa crystal.

Calculated volume, Å³ per cell: 91.76
DFT total energy, eV per atom: -6.1200
ΔE to the lowest computed polymorph, eV per formula unit: 0.04
Energy of formation from the pure elements, kJ/mol of atoms: 17.5
Space-group type: I4mm (107)

Lattice parameters (Å, degrees): 8.2105 8.2105 8.2105 155.96 155.96 34.26
Element x y z (fractional)
1 Tb 0.0000 0.0000 0.0000
2 Pr 0.3079 0.3079 0.0000
3 Pa 0.6509 0.6509 0.0000

***

(6)
## MnIn3P (PBE)

Data for a relaxed MnIn3P crystal.

Calculated volume, Å³ per cell: 134.40
DFT total energy, eV per atom: -3.3958
ΔE to the lowest computed polymorph, eV per formula unit: 2.72
Energy of formation from the pure elements, kJ/mol of atoms: 112.2
Space-group type: Pm-3m (221)

Lattice parameters (Å, degrees): 5.1224 5.1224 5.1224 90.00 90.00 90.00
Element x y z (fractional)
1 Mn 0.0000 0.0000 0.0000
2 In 0.0000 0.5000 0.5000
3 In 0.5000 0.0000 0.5000
4 In 0.5000 0.5000 0.0000
5 P 0.5000 0.5000 0.5000

***

(7)
## CaCu11Si (PBE)

Data for a relaxed CaCu11Si crystal.

Calculated volume, Å³ per cell: 174.71
DFT total energy, eV per atom: -4.1359
Raw formation energy, eV/atom: -0.099
Space-group type: C2/m (12)

Lattice parameters (Å, degrees): 6.4408 6.4408 6.4913 97.41 97.41 136.25
Element x y z (fractional)
1 Ca 0.0000 0.0000 0.0000
2 Cu 0.0000 0.0000 0.5000
3 Cu 0.0000 0.5000 0.0000
4 Cu 0.0094 0.6532 0.6456
5 Cu 0.2830 0.5084 0.7718
6 Cu 0.3468 0.9906 0.3544
7 Cu 0.4916 0.7170 0.2282
8 Cu 0.5000 0.0000 0.0000
9 Cu 0.5084 0.2830 0.7718
10 Cu 0.6532 0.0094 0.6456
11 Cu 0.7170 0.4916 0.2282
12 Cu 0.9906 0.3468 0.3544
13 Si 0.5000 0.5000 0.5000

***

(8)
## Tl4SbS4 (PBE)

Data for a relaxed Tl4SbS4 crystal.

Calculated volume, Å³ per cell: 252.87
DFT total energy, eV per atom: -3.6427
Raw formation energy, eV/atom: -0.299
Space-group type: C2/m (12)

Lattice parameters (Å, degrees): 7.2583 7.2583 10.5720 120.72 120.72 32.42
Element x y z (fractional)
1 Tl 0.0899 0.0899 0.3952
2 Tl 0.3135 0.3135 0.2286
3 Tl 0.6865 0.6865 0.7714
4 Tl 0.9101 0.9101 0.6048
5 Sb 0.5000 0.5000 0.0000
6 S 0.0985 0.0985 0.9390
7 S 0.3254 0.3254 0.7200
8 S 0.6746 0.6746 0.2800
9 S 0.9015 0.9015 0.0610

***

(9)
## Cs3RhS (PBE)

Data for a relaxed Cs3RhS crystal.

Calculated volume, Å³ per cell: 191.57
DFT total energy, eV per atom: -2.7401
Raw formation energy, eV/atom: 0.068
Space-group type: Pm-3m (221)

Lattice parameters (Å, degrees): 5.7647 5.7647 5.7647 90.00 90.00 90.00
Element x y z (fractional)
1 Cs 0.0000 0.0000 0.5000
2 Cs 0.0000 0.5000 0.0000
3 Cs 0.5000 0.0000 0.0000
4 Rh 0.0000 0.0000 0.0000
5 S 0.5000 0.5000 0.5000

***

(10)
## GaFeS2 (PBE)

Data for a relaxed GaFeS2 crystal.

Calculated volume, Å³ per cell: 143.52
DFT total energy, eV per atom: -5.2202
Raw formation energy, eV/atom: -0.284
Space-group type: I-42d (122)

Lattice parameters (Å, degrees): 6.3998 6.3998 6.3998 131.61 131.61 70.85
Element x y z (fractional)
1 Ga 0.0000 0.0000 0.0000
2 Ga 0.7500 0.2500 0.5000
3 Fe 0.2500 0.7500 0.5000
4 Fe 0.5000 0.5000 0.0000
5 S 0.1631 0.6250 0.0381
6 S 0.3750 0.4131 0.5381
7 S 0.5869 0.1250 0.9619
8 S 0.8750 0.8369 0.4619

***

(11)
## ZrP2RuO (PBE)

Data for a relaxed ZrP2RuO crystal.

Calculated volume, Å³ per cell: 102.38
DFT total energy, eV per atom: -6.5427
ΔE to the lowest computed polymorph, eV per formula unit: 2.10
Raw formation energy, eV/atom: 0.178
Space-group type: P4/mmm (123)

Lattice parameters (Å, degrees): 5.1203 5.1203 3.9052 90.00 90.00 90.00
Element x y z (fractional)
1 Zr 0.0000 0.0000 0.0000
2 P 0.0000 0.5000 0.0000
3 P 0.5000 0.0000 0.0000
4 Ru 0.5000 0.5000 0.5000
5 O 0.0000 0.0000 0.5000

***

(12)
## KLi2PS4 (PBE)

Data for a relaxed KLi2PS4 crystal.

Calculated volume, Å³ per cell: 175.27
DFT total energy, eV per atom: -4.3271
Raw formation energy, eV/atom: -0.972
Space-group type: I-42m (121)

Lattice parameters (Å, degrees): 6.1851 6.1851 6.1851 116.39 116.39 96.38
Element x y z (fractional)
1 K 0.0000 0.0000 0.0000
2 Li 0.2500 0.7500 0.5000
3 Li 0.7500 0.2500 0.5000
4 P 0.5000 0.5000 0.0000
5 S 0.1732 0.1732 0.6339
6 S 0.4608 0.8268 0.0000
7 S 0.5392 0.5392 0.3661
8 S 0.8268 0.4608 0.0000

***

Question: Look up the DFT total energy of the tenth one.
Answer: -5.2202 eV per atom

***

Question: Which value of DFT total energy does entry 7 give?
Answer: -4.1359 eV per atom